The following is a DFT calculation (PBE) of a geometry-optimized Pm2Sm6YEr structure.

Structure (POSCAR):
```
Pm2Sm6YEr
1.0
-2.9247 -7.5169 5.4435
-0.5692 -4.5217 -7.6867
7.9701 0.6149 3.9944
Pm Sm Y Er
4 12 2 2
direct
0.4575 0.8034 0.6973
0.0425 0.3027 0.1966
0.5425 0.1966 0.3027
0.9575 0.6973 0.8034
0.0553 0.1263 0.7535
0.4447 0.2465 0.8737
0.9447 0.8737 0.2465
0.5553 0.7535 0.1263
0.3111 0.9821 0.4274
0.1889 0.5726 0.0179
0.6889 0.0179 0.5726
0.8111 0.4274 0.9821
0.1191 0.7106 0.5003
0.3809 0.4997 0.2894
0.8809 0.2894 0.4997
0.6191 0.5003 0.7106
0.2500 0.9790 0.0210
0.7500 0.0210 0.9790
0.2500 0.4089 0.5911
0.7500 0.5911 0.4089
```

Computed properties:
Its symmetry is No. 15. Its calculated density is 7.11 Mg/m³. As for the total magnetic moment: 0.0 μB/f.u. The calculation puts the total energy at -4.7708 eV/atom.